[1]
VASP calculation (GGA-PBEsol) on a relaxed structure of BPd3.

```
16
Lattice="-3.300 1.012 -3.382 -0.799 -5.324 -0.812 -5.389 0.006 5.261" Properties=species:S:1:pos:R:3 pbc="T T T"
Pd -4.169 0.656 -1.576
Pd -1.602 -0.629 -0.883
Pd -3.540 -0.627 1.009
Pd -1.493 -3.447 -0.769
Pd -7.887 -3.677 1.950
Pd -5.553 -2.106 2.400
Pd -3.936 -2.200 -1.334
Pd -3.431 -3.445 1.123
Pd -5.949 -3.679 0.058
Pd -5.319 -4.962 2.643
Pd -7.996 -0.859 1.835
Pd -6.057 -0.862 -0.057
B -5.992 -0.022 1.949
B -7.621 -2.307 0.282
B -1.867 -1.999 0.785
B -3.497 -4.284 -0.882
```

Computed properties:
Total moment (μB per cell): 0.00
Symmetry: Pnma, No. 62
DFT formation energy (meV/atom): -306.4

---

[2]
VASP calculation (GGA-PBEsol) on a relaxed structure of CdSi2Rh.

```
4
Lattice="-0.323 -0.588 2.813 -0.891 -2.670 -0.661 7.126 -2.453 0.305" Properties=species:S:1:pos:R:3 pbc="T T T"
Rh 2.956 -2.856 1.228
Si 2.132 -0.734 0.091
Si 4.994 -1.719 0.214
Cd -0.607 -1.629 1.076
```

Computed properties:
Total moment (μB per cell): 0.00
Symmetry: P4/mmm, No. 123
Formation energy from raw total energies (eV/atom): -0.124

---

[3]
VASP calculation (GGA-PBEsol) on a relaxed structure of YMoAs.

```
3
Lattice="4.650 0.000 0.000 2.325 4.027 0.000 2.325 1.342 3.797" Properties=species:S:1:pos:R:3 pbc="T T T"
Y 2.325 1.342 0.949
As 0.000 0.000 0.000
Mo 4.650 2.685 1.898
```

Computed properties:
Total moment (μB per cell): 2.82
Symmetry: F-43m, No. 216
DFT formation energy (meV/atom): 955.4

---

[4]
VASP calculation (GGA-PBEsol) on a relaxed structure of IrWI2.

```
4
Lattice="4.758 0.000 0.000 2.379 4.120 0.000 2.379 1.373 3.885" Properties=species:S:1:pos:R:3 pbc="T T T"
Ir 4.758 2.747 1.942
I 2.379 1.373 0.971
I 7.137 4.120 2.914
W 0.000 0.000 0.000
```

Computed properties:
Total moment (μB per cell): 0.00
Symmetry: Fm-3m, No. 225
Formation energy from raw total energies (eV/atom): 1.362

---

[5]
VASP calculation (GGA-PBEsol) on a relaxed structure of Li2SnP2O7.

```
24
Lattice="5.219 -0.046 -0.012 -2.468 6.437 0.037 -0.485 -3.063 8.418" Properties=species:S:1:pos:R:3 pbc="T T T"
Sn 0.423 -0.342 2.956
Sn 1.843 3.669 5.487
O 0.202 3.567 6.969
O 2.321 0.706 3.987
O 0.230 1.733 2.070
O 2.035 1.594 6.373
O 1.971 5.411 0.999
O -0.055 2.621 4.456
O 2.325 -0.785 8.331
O -0.059 4.113 0.112
O 1.706 -0.831 5.839
O 0.294 -2.084 7.444
O 2.064 -0.239 1.475
O 3.445 3.155 2.599
O -1.179 0.173 5.844
O 0.560 4.159 2.604
P 0.519 5.003 1.211
P -0.351 2.865 2.989
P 2.616 0.462 5.454
P 1.747 -1.676 7.232
Li -0.064 1.569 6.586
Li 2.329 1.758 1.857
Li 2.640 1.224 8.313
Li -0.374 2.104 0.130
```

Computed properties:
Total moment (μB per cell): 0.00
Energy above the most stable polymorph in this dataset (eV per atom): 0.000
Symmetry: P-1, No. 2
Formation energy from raw total energies (eV/atom): -2.156

---

[6]
VASP calculation (GGA-PBEsol) on a relaxed structure of TaRh3Pb.

```
5
Lattice="4.710 0.000 0.000 0.000 4.710 0.000 0.000 0.000 4.710" Properties=species:S:1:pos:R:3 pbc="T T T"
Pb 2.355 2.355 2.355
Rh 0.000 2.355 0.000
Rh 2.355 0.000 0.000
Rh 0.000 0.000 2.355
Ta 0.000 0.000 0.000
```

Computed properties:
Total moment (μB per cell): 0.00
Energy above the most stable polymorph in this dataset (eV per atom): 0.000
Symmetry: Pm-3m, No. 221
DFT formation energy (meV/atom): 793.0

---

[7]
VASP calculation (GGA-PBEsol) on a relaxed structure of KTaMn2.

```
4
Lattice="-2.661 2.736 -0.523 -1.782 -1.116 3.229 4.896 2.277 1.190" Properties=species:S:1:pos:R:3 pbc="T T T"
Mn 0.006 2.912 1.010
Mn 0.000 0.000 0.000
K 0.446 0.986 2.886
Ta -2.222 0.810 1.353
```

Computed properties:
Total moment (μB per cell): 5.03
Energy above the most stable polymorph in this dataset (eV per atom): 0.583
Symmetry: I-4m2, No. 119
DFT formation energy (meV/atom): 1538.4

---

[8]
VASP calculation (GGA-PBEsol) on a relaxed structure of Sc3Sb.

```
4
Lattice="-1.714 -3.243 -2.178 2.961 -2.630 1.586 -3.498 1.950 4.028" Properties=species:S:1:pos:R:3 pbc="T T T"
Sc 0.043 -1.808 2.659
Sc -2.294 -2.115 0.777
Sc 0.623 -2.936 -0.296
Sb 0.000 0.000 0.000
```

Computed properties:
Total moment (μB per cell): 0.99
Energy above the most stable polymorph in this dataset (eV per atom): 0.015
Symmetry: I4/mmm, No. 139
Formation energy from raw total energies (eV/atom): -0.540

---

[9]
VASP calculation (GGA-PBEsol) on a relaxed structure of SrTcOs2.

```
4
Lattice="-0.242 -4.267 -1.571 3.294 -1.627 -2.691 2.866 -3.171 1.572" Properties=species:S:1:pos:R:3 pbc="T T T"
Os 1.479 -2.266 -0.672
Os 4.438 -6.799 -2.017
Tc 2.959 -4.533 -1.345
Sr 0.000 0.000 0.000
```

Computed properties:
Total moment (μB per cell): 0.01
Energy above the most stable polymorph in this dataset (eV per atom): 0.247
Symmetry: Fm-3m, No. 225
DFT formation energy (meV/atom): 1149.6

---

[10]
VASP calculation (GGA-PBEsol) on a relaxed structure of ScCoSeBr2.

```
5
Lattice="-0.109 -1.208 4.959 -4.909 -1.333 -0.432 1.424 -4.871 -1.155" Properties=species:S:1:pos:R:3 pbc="T T T"
Se 0.712 -2.435 -0.578
Br -0.054 -0.604 2.480
Br -2.455 -0.666 -0.216
Sc 0.000 0.000 0.000
Co -1.797 -3.706 1.686
```

Computed properties:
Total moment (μB per cell): 2.38
Symmetry: P4/mmm, No. 123
Formation energy from raw total energies (eV/atom): -0.127

---

[11]
VASP calculation (GGA-PBEsol) on a relaxed structure of NaSi2HgS.

```
5
Lattice="-0.482 -4.233 -2.074 4.572 -0.926 0.828 -1.179 -1.973 4.302" Properties=species:S:1:pos:R:3 pbc="T T T"
Si 2.286 -0.463 0.414
Si -0.241 -2.117 -1.037
Na -0.589 -0.986 2.151
S 0.000 0.000 0.000
Hg 1.456 -3.566 1.528
```

Computed properties:
Total moment (μB per cell): 0.00
Symmetry: P4/mmm, No. 123
Formation energy from raw total energies (eV/atom): 0.381

---

[12]
VASP calculation (GGA-PBEsol) on a relaxed structure of BaYIr2.

```
4
Lattice="-1.972 -2.591 1.669 0.700 -0.873 3.483 -5.795 4.551 4.227" Properties=species:S:1:pos:R:3 pbc="T T T"
Ba 0.000 0.000 0.000
Ir -5.172 0.679 6.974
Ir -1.895 0.408 2.405
Y -3.534 0.544 4.690
```

Computed properties:
Total moment (μB per cell): 0.00
Energy above the most stable polymorph in this dataset (eV per atom): 0.434
Symmetry: R-3m, No. 166
DFT formation energy (meV/atom): 256.7